A relaxed structure of NiSeS2N. Source: the Alexandria database, functional PBE.

Its energy above the most stable polymorph in this dataset is 0 meV per atom.

It has space group P4/mmm (No. 123), with a = 4.703 Å, b = 4.703 Å, c = 3.440 Å, α = 90.00°, β = 90.00° and γ = 90.00°. Symmetry generates all atoms from Ni at (0.000, 0.000, 0.000), Se at (0.500, 0.500, 0.500), S at (0.000, 0.500, 0.000) and N at (0.000, 0.000, 0.500).

=====

A relaxed structure of MnAl2Mo. Source: the Alexandria database, functional PBE.

For the formation energy, the calculation gives -0.54 eV/f.u.

It has space group I4/mmm (No. 139), with a = 3.885 Å, b = 3.885 Å, c = 7.765 Å, α = 90.00°, β = 90.00° and γ = 90.00°. Symmetry generates all atoms from Mn at (0.000, 0.000, 0.000), Al at (0.000, 0.500, 0.250) and Mo at (0.000, 0.000, 0.500).

=====

A relaxed structure of SmDy7Tm3. Source: the Alexandria database, functional PBE.

For the formation energy, the calculation gives 1.58 eV/f.u. Its energy above the most stable polymorph in this dataset is 0 meV per atom.

It has space group P2/m (No. 10), with a = 6.922 Å, b = 5.512 Å, c = 9.822 Å, α = 90.00°, β = 109.77° and γ = 90.00°. Symmetry generates all atoms from Sm at (0.000, 0.000, 0.000), Dy at (0.000, 0.000, 0.500), Dy at (0.147, 0.500, 0.791), Dy at (0.325, 0.500, 0.143), Dy at (0.423, 0.000, 0.332), Tm at (0.277, 0.500, 0.497) and Tm at (0.500, 0.000, 0.000).

=====

A relaxed structure of Y2TeIr2. Source: the Alexandria database, functional PBE.

Its energy above the most stable polymorph in this dataset is 0 meV per atom.

It has space group P4/mbm (No. 127), with a = 7.525 Å, b = 7.525 Å, c = 3.900 Å, α = 90.00°, β = 90.00° and γ = 90.00°. Symmetry generates all atoms from Y at (0.174, 0.326, 0.000), Te at (0.000, 0.000, 0.500) and Ir at (0.124, 0.624, 0.500).

=====

A relaxed structure of Li2La2NdGa2. Source: the Alexandria database, functional PBE.

For the formation energy, the calculation gives -2.20 eV/f.u.

It has space group R-3m (No. 166, hexagonal axes), with a = 4.7297 Å, b = 4.7297 Å, c = 26.5599 Å, α = 90.00°, β = 90.00° and γ = 120.00°. Symmetry generates all atoms from Li at (0.0000, 0.0000, 0.1047), La at (0.0000, 0.0000, 0.3685), Nd at (0.0000, 0.0000, 0.5000) and Ga at (0.0000, 0.0000, 0.2354).

=====

A relaxed structure of Be2Os2Ru. Source: the Alexandria database, functional PBE.

For the formation energy, the calculation gives -0.24 eV/f.u.

It has space group P4/mbm (No. 127), with a = 6.269 Å, b = 6.269 Å, c = 2.925 Å, α = 90.00°, β = 90.00° and γ = 90.00°. Symmetry generates all atoms from Be at (0.127, 0.373, 0.000), Os at (0.165, 0.665, 0.500) and Ru at (0.000, 0.000, 0.000).

=====

A relaxed structure of PrMg2Cu9. Source: the Alexandria database, functional PBE.

For the formation energy, the calculation gives -1.90 eV/f.u. Its energy above the most stable polymorph in this dataset is 3 meV per atom.

It has space group R-3m (No. 166, hexagonal axes), with a = 5.0985 Å, b = 5.0985 Å, c = 24.1048 Å, α = 90.00°, β = 90.00° and γ = 120.00°. Symmetry generates all atoms from Pr at (0.0000, 0.0000, 0.0000), Mg at (0.0000, 0.0000, 0.1459), Cu at (0.0000, 0.0000, 0.3332), Cu at (0.0000, 0.0000, 0.5000) and Cu at (0.0029, 0.5015, 0.9146).

=====

A relaxed structure of CsBiNO2. Source: the Alexandria database, functional PBE.

The uncorrected energy is -3.37 eV per atom.

It has space group P4/mmm (No. 123), with a = 4.413 Å, b = 4.413 Å, c = 4.797 Å, α = 90.00°, β = 90.00° and γ = 90.00°. Symmetry generates all atoms from Cs at (0.000, 0.000, 0.000), Bi at (0.500, 0.500, 0.500), N at (0.000, 0.000, 0.500) and O at (0.000, 0.500, 0.000).